Compound: Zr4CdPd5
Source: the Alexandria database
Functional: PBE-GGA
Structure: relaxed

The structure in CIF format:
```
data_Zr4CdPd5
_chemical_formula_sum 'Zr4 Cd1 Pd5'
_space_group_name_H-M_alt 'P 4/m m m'
_space_group_IT_number 123
_space_group_name_Hall '-P 4 2'
_cell_length_a 3.381
_cell_length_b 3.381
_cell_length_c 16.384
_cell_angle_alpha 90.00
_cell_angle_beta 90.00
_cell_angle_gamma 90.00
loop_
_atom_site_label
_atom_site_type_symbol
_atom_site_fract_x
_atom_site_fract_y
_atom_site_fract_z
Zr1 Zr 0.000 0.000 0.100
Zr2 Zr 0.000 0.000 0.304
Cd1 Cd 0.000 0.000 0.500
Pd1 Pd 0.500 0.500 0.000
Pd2 Pd 0.500 0.500 0.204
Pd3 Pd 0.500 0.500 0.397
```

Properties
Uncorrected energy in eV/f.u.: -66.77
DOS at the Fermi energy in states/eV per cell: 9.163
Density in g/cm3: 8.9
Energy of formation from the pure elements in eV/atom: -0.57

***

Compound: CaSmGaS4
Source: the Alexandria database
Functional: PBE-GGA
Structure: relaxed

The structure in CIF format:
```
data_CaSmGaS4
_chemical_formula_sum 'Ca4 Sm4 Ga4 S16'
_space_group_name_H-M_alt 'I m m a'
_space_group_IT_number 74
_space_group_name_Hall '-I 2b 2'
_cell_length_a 7.762
_cell_length_b 7.945
_cell_length_c 11.107
_cell_angle_alpha 90.00
_cell_angle_beta 90.00
_cell_angle_gamma 90.00
loop_
_atom_site_label
_atom_site_type_symbol
_atom_site_fract_x
_atom_site_fract_y
_atom_site_fract_z
Ca1 Ca 0.250 0.250 0.250
Sm1 Sm 0.000 0.000 0.000
Ga1 Ga 0.000 0.250 0.632
S1 S 0.000 0.007 0.749
S2 S 0.245 0.250 0.504
```

Properties
Uncorrected energy in eV/f.u.: -36.70
Formation energy without anion corrections in eV/atom: -1.492
DOS at the Fermi energy in states/eV per cell: 1.678
Density in g/cm3: 3.8

***

Compound: DyZn2PRu2
Source: the Alexandria database
Functional: PBE-GGA
Structure: relaxed

The structure in CIF format:
```
data_DyZn2PRu2
_chemical_formula_sum 'Dy1 Zn2 P1 Ru2'
_space_group_name_H-M_alt 'P 4/m m m'
_space_group_IT_number 123
_space_group_name_Hall '-P 4 2'
_cell_length_a 4.375
_cell_length_b 4.375
_cell_length_c 5.579
_cell_angle_alpha 90.00
_cell_angle_beta 90.00
_cell_angle_gamma 90.00
loop_
_atom_site_label
_atom_site_type_symbol
_atom_site_fract_x
_atom_site_fract_y
_atom_site_fract_z
Dy1 Dy 0.000 0.000 0.000
Zn1 Zn 0.500 0.500 0.220
P1 P 0.000 0.000 0.500
Ru1 Ru 0.000 0.500 0.500
```

Properties
Uncorrected energy in eV/f.u.: -33.41
DOS at the Fermi energy in states/eV per cell: 2.165
Density in g/cm3: 8.2
Energy of formation from the pure elements in eV/atom: -0.38

***

- The highest DOS at the Fermi energy belongs to which entry?
  Zr4CdPd5

***

- Number 1 is which compound?
  Zr4CdPd5